# 1
Entry from Alexandria via LeMat-Bulk: Be2CrPt after structural relaxation (GGA-PBE).

```
Be2CrPt
1.0
4.783 -0.007 -0.020
-2.228 3.967 0.010
0.327 0.817 2.410
Be Pt Cr
2 1 1
Direct
0.500 0.000 0.500
0.000 0.000 0.000
0.500 0.500 0.000
0.000 0.500 0.500
```

Formation energy from the elements (eV/atom): -0.07
Space group: No. 12



# 2
Entry from Alexandria via LeMat-Bulk: In4Pt3 after structural relaxation (GGA-PBE).

```
In4Pt3
1.0
2.766 -4.791 0.000
2.766 4.791 0.000
0.000 0.000 5.204
Pt In
3 4
Direct
0.500 0.500 0.000
0.000 0.500 0.000
0.500 0.000 0.000
0.000 0.000 0.752
0.667 0.333 0.500
0.000 0.000 0.248
0.333 0.667 0.500
```

Formation energy from the elements (eV/atom): -0.22
Space group: No. 191



# 3
Entry from Alexandria via LeMat-Bulk: CaTm5 after structural relaxation (GGA-PBE).

```
CaTm5
1.0
3.799 0.000 0.000
0.000 5.766 0.000
0.000 -2.883 8.674
Tm Ca
5 1
Direct
0.500 0.830 0.661
0.000 0.329 0.658
0.000 0.671 0.342
0.500 0.500 0.000
0.500 0.170 0.339
0.000 0.000 0.000
```

Formation energy from the elements (eV/atom): 0.17
Space group: No. 65



# 4
Entry from Alexandria via LeMat-Bulk: Hf3MgIn2 after structural relaxation (GGA-PBE).

```
Hf3MgIn2
1.0
2.985 0.000 0.000
0.000 5.493 0.000
-1.493 -2.747 8.588
Hf In Mg
3 2 1
Direct
0.000 0.500 0.000
0.175 0.175 0.351
0.825 0.825 0.649
0.345 0.345 0.690
0.655 0.655 0.310
0.000 0.000 0.000
```

Formation energy from the elements (eV/atom): 0.40
Space group: No. 71



# 5
Entry from Alexandria via LeMat-Bulk: Cs2LiHgSe after structural relaxation (GGA-PBE).

```
Cs2LiHgSe
1.0
-0.426 7.141 0.615
-6.999 -0.547 1.504
1.023 -0.338 4.637
Hg Cs Se Li
1 2 1 1
Direct
0.500 0.500 0.500
0.000 0.500 0.000
0.500 0.000 0.000
0.000 0.000 0.000
0.000 0.000 0.500
```

Polymorph energy (0 for the lowest one) (kJ/mol of formula units): 0.0
Space group: No. 123
E_form (uncorrected) (eV/atom): -0.658



# 6
Entry from Alexandria via LeMat-Bulk: Ac8RuPb2 after structural relaxation (GGA-PBE).

```
Ac8RuPb2
1.0
4.950 0.000 0.000
0.000 8.457 0.943
-2.475 -2.267 10.144
Ac Pb Ru
8 2 1
Direct
0.998 0.216 0.996
0.639 0.023 0.278
0.361 0.977 0.722
0.403 0.481 0.807
0.784 0.651 0.569
0.216 0.349 0.431
0.597 0.519 0.193
0.002 0.784 0.004
0.819 0.233 0.637
0.181 0.767 0.363
0.500 0.000 0.000
```

Formation energy from the elements (eV/atom): -0.22
Space group: No. 12



# 7
Entry from Alexandria via LeMat-Bulk: NdSmPtAu after structural relaxation (GGA-PBE).

```
NdSmPtAu
1.0
-3.445 0.286 1.817
0.425 -4.413 1.499
4.255 1.637 3.613
Au Nd Pt Sm
1 1 1 1
Direct
0.586 0.500 0.171
0.139 0.000 0.278
0.412 0.000 0.823
0.864 0.500 0.727
```

Polymorph energy (0 for the lowest one) (kJ/mol of formula units): 0.0
Formation energy from the elements (eV/atom): -0.99
Space group: No. 38



# 8
Entry from Alexandria via LeMat-Bulk: Cd2Se after structural relaxation (GGA-PBE).

```
Cd2Se
1.0
-2.897 -2.289 1.468
0.826 -0.089 -3.886
3.582 -3.986 0.853
Se Cd
1 2
Direct
0.000 0.000 0.000
0.667 0.333 0.689
0.333 0.667 0.311
```

Polymorph energy (0 for the lowest one) (kJ/mol of formula units): 0.0
Space group: No. 164
E_form (uncorrected) (eV/atom): -0.262